DFT (PBE-GGA) results for a geometry-optimized Li2BeRu structure.

Summary:
Formation enthalpy at 0 K: 0.08 eV/atom
Total DFT energy (no corrections): -16.5 eV per cell

Cell and atoms, written as CIF:
```
data_Li2BeRu
_chemical_formula_sum 'Li2 Be1 Ru1'
_symmetry_space_group_name_H-M 'P 1 2/m 1'
_symmetry_Int_Tables_number 10
_cell_length_a 2.549
_cell_length_b 4.498
_cell_length_c 4.233
_cell_angle_alpha 90.00
_cell_angle_beta 94.28
_cell_angle_gamma 90.00
loop_
_symmetry_equiv_pos_as_xyz
'x,y,z'
'-x,-y,-z'
'-x,y,-z'
'x,-y,z'
loop_
_atom_site_label
_atom_site_type_symbol
_atom_site_fract_x
_atom_site_fract_y
_atom_site_fract_z
_atom_site_occupancy
Li1 Li 0.230 0.000 0.244 1
Be1 Be 0.000 0.500 0.500 1
Ru1 Ru 0.500 0.500 0.000 1
```